# ReRuBr2

A relaxed ReRuBr2 crystal (GGA-PBE, Alexandria).

a b c (Å): 2.9558 4.4384 5.4846
angles (deg): 90.00 90.00 90.00
Last column: nearest neighbours and their distance in Å.
Atoms (fractional coordinates):
Re 0.0000 0.0000 0.0000  4 Br 2.67, 2 Re 2.96
Ru 0.5000 0.0000 0.5000  4 Br 2.67, 2 Ru 2.96
Br 0.0000 0.5000 0.5000  4 Ru 2.67, 2 Br 2.96
Br 0.5000 0.5000 0.0000  4 Re 2.67, 2 Br 2.96

Values from the calculation:
The calculation puts the energy above the lowest structure with this stoichiometry at 1029 meV/atom. The value obtained for the density is 10.318 g cm⁻³. The calculated total energy comes out at -4.968 eV/atom.